First-principles (PBE with a Hubbard U) data for crystalline HfCrSiO6 at its relaxed geometry, as listed in Alexandria.

a = 4.547 Å, b = 4.547 Å, c = 8.903 Å
α = 90.00°, β = 90.00°, γ = 90.00°
Fractional positions:
Hf (0.000, 0.000, 0.000)
Hf (0.500, 0.500, 0.500)
Cr (0.000, 0.000, 0.330)
Cr (0.500, 0.500, 0.830)
Si (0.000, 0.000, 0.663)
Si (0.500, 0.500, 0.163)
O (0.180, 0.180, 0.508)
O (0.195, 0.195, 0.812)
O (0.217, 0.217, 0.169)
O (0.283, 0.717, 0.669)
O (0.305, 0.695, 0.312)
O (0.320, 0.680, 0.008)
O (0.680, 0.320, 0.008)
O (0.695, 0.305, 0.312)
O (0.717, 0.283, 0.669)
O (0.783, 0.783, 0.169)
O (0.805, 0.805, 0.812)
O (0.820, 0.820, 0.508)

Values from the calculation:
The value obtained for the total energy is -8.3303 eV/atom. For the density of states at the Fermi level, the calculation gives 0.93 states/eV/f.u. Its crystal system is tetragonal. As for the calculated volume: 10.22 A^3/atom.